No. 1
Li2SmCu after structural relaxation, computed with PBE.

Lattice parameters (Å, degrees): 3.1002 3.1002 30.4832 90.00 90.00 120.00
Space group R-3m (No. 166, hexagonal axes)
Symmetry-distinct sites (fractional):
Li 0.0000 0.0000 0.1023 x6
Sm 0.0000 0.0000 0.0000 x3
Cu 0.0000 0.0000 0.5000 x3

Values from the calculation:
Formation enthalpy at 0 K = 0.294 eV/atom
V = 21.14 Å³/atom


No. 2
LiSmCu2 after structural relaxation, computed with PBE.

Lattice parameters (Å, degrees): 4.7350 4.7350 3.3697 90.00 90.00 90.00
Space group P4/mmm (No. 123)
Symmetry-distinct sites (fractional):
Li 0.0000 0.0000 0.0000 x1
Sm 0.5000 0.5000 0.0000 x1
Cu 0.0000 0.5000 0.5000 x2

Values from the calculation:
Formation enthalpy at 0 K = 0.012 eV/atom
V = 18.89 Å³/atom


No. 3
LiSmCu2 after structural relaxation, computed with PBE.

Lattice parameters (Å, degrees): 6.8585 3.9635 11.1959 90.00 90.00 90.00
Space group Pnma (No. 62)
Symmetry-distinct sites (fractional):
Li 0.1025 0.2500 0.0494 x4
Sm 0.1235 0.2500 0.3546 x4
Cu 0.0480 0.2500 0.8212 x4
Cu 0.2049 0.2500 0.6284 x4

Values from the calculation:
Formation enthalpy at 0 K = -0.074 eV/atom
V = 19.02 Å³/atom


No. 4
LiSmCu11 after structural relaxation, computed with PBE.

Lattice parameters (Å, degrees): 4.8253 11.9621 6.5494 90.00 111.52 90.00
Space group C2/m (No. 12)
Symmetry-distinct sites (fractional):
Li 0.0000 0.0000 0.0000 x2
Sm 0.0000 0.5000 0.5000 x2
Cu 0.0000 0.5000 0.0000 x2
Cu 0.1130 0.1120 0.7280 x8
Cu 0.1721 0.3205 0.8541 x8
Cu 0.2500 0.2500 0.5000 x4

Values from the calculation:
Formation enthalpy at 0 K = -0.070 eV/atom
V = 13.53 Å³/atom


No. 5
LiSm2Cu3 after structural relaxation, computed with PBE.

Lattice parameters (Å, degrees): 7.2438 8.7523 15.0187 90.00 90.00 90.00
Space group Fmmm (No. 69)
Symmetry-distinct sites (fractional):
Li 0.0000 0.0000 0.1673 x8
Sm 0.2472 0.0000 0.5000 x8
Sm 0.2500 0.2500 0.2500 x8
Cu 0.0000 0.0000 0.3346 x8
Cu 0.0000 0.2492 0.4167 x16

Values from the calculation:
Formation enthalpy at 0 K = -0.121 eV/atom
V = 19.84 Å³/atom


No. 6
LiSm3Cu2 after structural relaxation, computed with PBE.

Lattice parameters (Å, degrees): 5.0957 5.0957 12.4644 90.00 90.00 120.00
Space group P-3m1 (No. 164)
Symmetry-distinct sites (fractional):
Li 0.3333 0.6667 0.1745 x2
Sm 0.0000 0.0000 0.2598 x2
Sm 0.3333 0.6667 0.4275 x2
Sm 0.3333 0.6667 0.9180 x2
Cu 0.0000 0.0000 0.0000 x1
Cu 0.0000 0.0000 0.5000 x1
Cu 0.3333 0.6667 0.6794 x2

Values from the calculation:
Formation enthalpy at 0 K = -0.068 eV/atom
V = 23.36 Å³/atom


Number 1: Fermi-level density of states 2.85 states/eV/f.u.. Number 2: Fermi-level density of states 2.31 states/eV/f.u.. Number 3: Fermi-level density of states 1.89 states/eV/f.u.. Number 4: Fermi-level density of states 4.59 states/eV/f.u.. Number 5: Fermi-level density of states 3.67 states/eV/f.u.. Number 6: Fermi-level density of states 5.74 states/eV/f.u..